[1]
Density functional theory data (GGA-PBEsol) for a relaxed structure of BH2Pb.

symmetry = Fm-3m, No. 225
E above lowest polymorph = 597 meV per atom

a b c (Å): 3.945 3.945 3.945
angles (deg): 60.00 60.00 60.00
Fractional positions:
B 0.000 0.000 0.000
H 0.250 0.250 0.250
H 0.750 0.750 0.750
Pb 0.500 0.500 0.500

[2]
Density functional theory data (GGA-PBEsol) for a relaxed structure of BH2Pb.

symmetry = Fd-3m, No. 227
E above lowest polymorph = 0 meV per atom

a b c (Å): 4.952 4.952 4.952
angles (deg): 60.00 60.00 60.00
Fractional positions:
B 0.125 0.125 0.125
B 0.875 0.875 0.875
H 0.000 0.000 0.000
H 0.000 0.000 0.500
H 0.000 0.500 0.000
H 0.500 0.000 0.000
Pb 0.375 0.375 0.375
Pb 0.625 0.625 0.625

[3]
Density functional theory data (GGA-PBEsol) for a relaxed structure of BHRh2Pb.

symmetry = P4/mmm, No. 123
uncorrected energy = -5.510 eV per atom

a b c (Å): 4.151 4.151 3.462
angles (deg): 90.00 90.00 90.00
Fractional positions:
B 0.000 0.000 0.000
H 0.000 0.000 0.500
Rh 0.000 0.500 0.500
Rh 0.500 0.000 0.500
Pb 0.500 0.500 0.000

[4]
Density functional theory data (GGA-PBEsol) for a relaxed structure of BH2Pd2.

symmetry = P4/mbm, No. 127
uncorrected energy = -4.934 eV per atom

a b c (Å): 5.522 5.522 3.415
angles (deg): 90.00 90.00 90.00
Fractional positions:
B 0.000 0.000 0.000
B 0.500 0.500 0.000
H 0.162 0.338 0.500
H 0.338 0.838 0.500
H 0.662 0.162 0.500
H 0.838 0.662 0.500
Pd 0.170 0.330 0.000
Pd 0.330 0.830 0.000
Pd 0.670 0.170 0.000
Pd 0.830 0.670 0.000

[5]
Density functional theory data (GGA-PBEsol) for a relaxed structure of BH2Pt2.

symmetry = P4/mbm, No. 127
uncorrected energy = -5.544 eV per atom

a b c (Å): 5.538 5.538 3.481
angles (deg): 90.00 90.00 90.00
Fractional positions:
B 0.000 0.000 0.000
B 0.500 0.500 0.000
H 0.161 0.339 0.500
H 0.339 0.839 0.500
H 0.661 0.161 0.500
H 0.839 0.661 0.500
Pt 0.168 0.332 0.000
Pt 0.332 0.832 0.000
Pt 0.668 0.168 0.000
Pt 0.832 0.668 0.000

[6]
Density functional theory data (GGA-PBEsol) for a relaxed structure of SnB2HPt.

symmetry = P4/mmm, No. 123
uncorrected energy = -3.420 eV per atom

a b c (Å): 4.363 4.363 5.094
angles (deg): 90.00 90.00 90.00
Fractional positions:
Sn 0.000 0.000 0.000
B 0.000 0.500 0.000
B 0.500 0.000 0.000
H 0.500 0.500 0.500
Pt 0.000 0.000 0.500